# 1
Computed, not measured: a relaxed structure of ErLu6Ni2Te2 at the PBE level of DFT.

Unit cell a=9.1628 b=9.1628 c=9.1628 alpha=156.04 beta=67.26 gamma=118.21
With the nearest neighbours (Å) after each atom.
Element x y z (fractional)
Er  0.0000  0.0000  0.0000  3 Te 3.16-3.19
Lu  0.0617  0.3761  0.6855  2 Ni 2.74
Lu  0.0813  0.7283  0.3530  2 Ni 2.78
Lu  0.3754  0.7283  0.6470  2 Ni 2.78
Lu  0.4464  0.5815  0.8648  2 Ni 2.73
Lu  0.6906  0.3761  0.3145  2 Ni 2.74
Lu  0.7167  0.5815  0.1352  2 Ni 2.73
Ni  0.3058  0.0693  0.2365  6 Lu 2.73-2.78
Ni  0.8329  0.0693  0.7635  6 Lu 2.73-2.78
Te  0.3388  0.3388  0.0000  6 Lu 3.08-3.12, 1 Er 3.19
Te  0.7324  0.2324  0.5000  6 Lu 3.14, 2 Er 3.16

As for the volume: 24.83 Å³ per atom. As for the total energy: -5.147 eV per atom.


# 2
Computed, not measured: a relaxed structure of LiAgAu2 at the PBE level of DFT.

Unit cell a=4.0702 b=4.0702 c=4.0730 alpha=90.00 beta=90.00 gamma=90.00
With the nearest neighbours (Å) after each atom.
Element x y z (fractional)
Li  0.0000  0.0000  0.0000  4 Ag 2.88, 8 Au 2.88
Ag  0.5000  0.5000  0.0000  4 Li 2.88, 8 Au 2.88
Au  0.0000  0.5000  0.5000  4 Au 2.88, 4 Li 2.88, 4 Ag 2.88
Au  0.5000  0.0000  0.5000  4 Au 2.88, 4 Li 2.88, 4 Ag 2.88

As for the volume: 16.87 Å³ per atom. As for the energy above the lowest structure with this stoichiometry: 0.000 eV per atom. As for the total energy: -3.141 eV per atom.


# 3
Computed, not measured: a relaxed structure of KBaLiZnF6 at the PBE level of DFT.

Unit cell a=5.6438 b=5.6438 c=5.6438 alpha=60.00 beta=60.00 gamma=60.00
With the nearest neighbours (Å) after each atom.
Element x y z (fractional)
K  0.0000  0.0000  0.0000  12 F 2.82
Ba  0.5000  0.5000  0.5000  12 F 2.82
Li  0.7500  0.7500  0.7500  6 F 1.97
Zn  0.2500  0.2500  0.2500  6 F 2.02
F  0.5027  0.5027  0.9973  1 Li 1.97, 1 Zn 2.02
F  0.5027  0.9973  0.5027  1 Li 1.97, 1 Zn 2.02
F  0.5027  0.9973  0.9973  1 Li 1.97, 1 Zn 2.02
F  0.9973  0.5027  0.5027  1 Li 1.97, 1 Zn 2.02
F  0.9973  0.5027  0.9973  1 Li 1.97, 1 Zn 2.02
F  0.9973  0.9973  0.5027  1 Li 1.97, 1 Zn 2.02

As for the volume: 12.71 Å³ per atom. As for the total energy: -4.751 eV per atom.


# 4
Computed, not measured: a relaxed structure of AcTaAsO at the PBE level of DFT.

Unit cell a=3.9738 b=6.1603 c=7.3693 alpha=90.00 beta=90.00 gamma=90.00
With the nearest neighbours (Å) after each atom.
Element x y z (fractional)
Ac  0.0000  0.2307  0.0000  2 O 2.63-2.77
Ac  0.0000  0.7693  0.5000  2 O 2.63-2.77
Ta  0.5000  0.2305  0.3989  2 O 2.03
Ta  0.5000  0.7695  0.8989  2 O 2.03
As  0.5000  0.4258  0.6984  2 Ta 2.51-2.58
As  0.5000  0.5742  0.1984  2 Ta 2.51-2.58
O  0.0000  0.1680  0.3715  2 Ta 2.03
O  0.0000  0.8320  0.8715  2 Ta 2.03

As for the volume: 22.55 Å³ per atom. As for the energy above the lowest structure with this stoichiometry: 0.489 eV per atom. As for the total energy: -7.716 eV per atom.


# 5
Computed, not measured: a relaxed structure of TmOsNO at the PBE level of DFT.

Unit cell a=5.5197 b=8.2479 c=4.7137 alpha=90.00 beta=90.00 gamma=90.00
With the nearest neighbours (Å) after each atom.
Element x y z (fractional)
Tm  0.0266  0.1556  0.0000  3 O 2.13-2.23, 1 N 2.33
Tm  0.4734  0.1556  0.5000  3 O 2.13-2.23, 1 N 2.33
Tm  0.5266  0.8444  0.0000  3 O 2.13-2.23, 1 N 2.33
Tm  0.9734  0.8444  0.5000  3 O 2.13-2.23, 1 N 2.33
Os  0.1067  0.5133  0.1599  3 N 2.00-2.06
Os  0.3933  0.5133  0.6599  3 N 2.00-2.06
Os  0.6067  0.4867  0.1599  3 N 2.00-2.06
Os  0.8933  0.4867  0.6599  3 N 2.00-2.06
N  0.1298  0.6563  0.8196  3 Os 2.00-2.06
N  0.3702  0.6563  0.3196  3 Os 2.00-2.06
N  0.6298  0.3437  0.8196  3 Os 2.00-2.06
N  0.8702  0.3437  0.3196  3 Os 2.00-2.06
O  0.1052  0.0848  0.5533  3 Tm 2.13-2.23
O  0.3948  0.0848  0.0533  3 Tm 2.13-2.23
O  0.6052  0.9152  0.5533  3 Tm 2.13-2.23
O  0.8948  0.9152  0.0533  3 Tm 2.13-2.23

As for the volume: 13.41 Å³ per atom. As for the energy above the lowest structure with this stoichiometry: 0.000 eV per atom. As for the total energy: -8.716 eV per atom.


# 6
Computed, not measured: a relaxed structure of CsNbP2O8 at the PBE level of DFT.

Unit cell a=4.9083 b=8.8210 c=18.1221 alpha=90.00 beta=100.23 gamma=90.00
With the nearest neighbours (Å) after each atom.
Element x y z (fractional)
Cs  0.1525  0.2100  0.4371  8 O 3.01-3.35
Cs  0.1525  0.2900  0.9371  8 O 3.01-3.35
Cs  0.8475  0.7100  0.0629  8 O 3.01-3.35
Cs  0.8475  0.7900  0.5629  8 O 3.01-3.35
Nb  0.3330  0.0555  0.1623  1 O 1.76
Nb  0.3330  0.4445  0.6623  1 O 1.76
Nb  0.6670  0.5555  0.3377  1 O 1.76
Nb  0.6670  0.9445  0.8377  1 O 1.76
P  0.1284  0.1204  0.7421  4 O 1.51-1.61
P  0.1284  0.3796  0.2421  4 O 1.51-1.61
P  0.2021  0.7113  0.9001  4 O 1.48-1.63
P  0.2021  0.7887  0.4001  4 O 1.48-1.63
P  0.7979  0.2113  0.5999  4 O 1.48-1.63
P  0.7979  0.2887  0.0999  4 O 1.48-1.63
P  0.8716  0.6204  0.7579  4 O 1.51-1.61
P  0.8716  0.8796  0.2579  4 O 1.51-1.61
O  0.0001  0.1553  0.0955  1 P 1.55
O  0.0001  0.3447  0.5955  1 P 1.55
O  0.9999  0.6553  0.4045  1 P 1.55
O  0.9999  0.8447  0.9045  1 P 1.55
O  0.0336  0.5885  0.8416  2 P 1.61-1.63
O  0.0336  0.9115  0.3416  2 P 1.61-1.63
O  0.0702  0.5873  0.7033  1 P 1.54
O  0.0702  0.9127  0.2033  1 P 1.54
O  0.2212  0.2166  0.2495  1 P 1.51
O  0.2212  0.2834  0.7495  1 P 1.51
O  0.2880  0.6288  0.9718  1 P 1.48
O  0.2880  0.8712  0.4718  1 P 1.48
O  0.3620  0.0023  0.7507  1 P 1.54
O  0.3620  0.4977  0.2507  1 P 1.54
O  0.4123  0.5702  0.5940  1 Nb 1.76
O  0.4123  0.9298  0.0940  1 Nb 1.76
O  0.4393  0.7347  0.3610  1 P 1.54
O  0.4393  0.7653  0.8610  1 P 1.54
O  0.5607  0.2347  0.1390  1 P 1.54
O  0.5607  0.2653  0.6390  1 P 1.54
O  0.5877  0.0702  0.9060  1 Nb 1.76
O  0.5877  0.4298  0.4060  1 Nb 1.76
O  0.6380  0.5023  0.7493  1 P 1.54
O  0.6380  0.9977  0.2493  1 P 1.54
O  0.7120  0.1288  0.5282  1 P 1.48
O  0.7120  0.3712  0.0282  1 P 1.48
O  0.7788  0.7166  0.2505  1 P 1.51
O  0.7788  0.7834  0.7505  1 P 1.51
O  0.9298  0.0873  0.7967  1 P 1.54
O  0.9298  0.4127  0.2967  1 P 1.54
O  0.9664  0.0885  0.6584  2 P 1.61-1.63
O  0.9664  0.4115  0.1584  2 P 1.61-1.63

As for the volume: 16.09 Å³ per atom. As for the total energy: -7.476 eV per atom.


# 7
Computed, not measured: a relaxed structure of SrNi2B2 at the PBE level of DFT.

Unit cell a=6.3017 b=13.2670 c=3.2699 alpha=90.00 beta=90.00 gamma=90.00
With the nearest neighbours (Å) after each atom.
Element x y z (fractional)
Sr  0.1397  0.1025  0.0000  3 Ni 2.67-2.86, 3 B 2.77-2.89
Sr  0.3603  0.6025  0.5000  3 Ni 2.67-2.86, 3 B 2.77-2.89
Sr  0.6397  0.3975  0.5000  3 Ni 2.67-2.86, 3 B 2.77-2.89
Sr  0.8603  0.8975  0.0000  3 Ni 2.67-2.86, 3 B 2.77-2.89
Ni  0.1269  0.7408  0.0000  3 B 2.13-2.18
Ni  0.1923  0.3687  0.0000  4 B 1.99-2.08
Ni  0.3077  0.8687  0.5000  4 B 1.99-2.08
Ni  0.3731  0.2408  0.5000  3 B 2.13-2.18
Ni  0.6269  0.7592  0.5000  3 B 2.13-2.18
Ni  0.6923  0.1313  0.5000  4 B 1.99-2.08
Ni  0.8077  0.6313  0.0000  4 B 1.99-2.08
Ni  0.8731  0.2592  0.0000  3 B 2.13-2.18
B  0.0600  0.3101  0.5000  1 B 1.80, 2 Ni 1.99
B  0.0684  0.4460  0.5000  2 B 1.67-1.80
B  0.4316  0.9460  0.0000  2 B 1.67-1.80
B  0.4400  0.8101  0.0000  1 B 1.80, 2 Ni 1.99
B  0.5600  0.1899  0.0000  1 B 1.80, 2 Ni 1.99
B  0.5684  0.0540  0.0000  2 B 1.67-1.80
B  0.9316  0.5540  0.5000  2 B 1.67-1.80
B  0.9400  0.6899  0.5000  1 B 1.80, 2 Ni 1.99

As for the volume: 13.67 Å³ per atom. As for the total energy: -5.207 eV per atom.


# 8
Computed, not measured: a relaxed structure of KPrGa at the PBE level of DFT.

Unit cell a=7.4666 b=7.4666 c=7.4666 alpha=90.00 beta=90.00 gamma=90.00
With the nearest neighbours (Å) after each atom.
Element x y z (fractional)
K  0.0000  0.0000  0.0000  4 Pr 3.23
K  0.0000  0.5000  0.5000  4 Pr 3.23
K  0.5000  0.0000  0.5000  4 Pr 3.23
K  0.5000  0.5000  0.0000  4 Pr 3.23
Pr  0.2500  0.2500  0.7500  4 K 3.23, 4 Ga 3.23
Pr  0.2500  0.7500  0.2500  4 K 3.23, 4 Ga 3.23
Pr  0.7500  0.2500  0.2500  4 K 3.23, 4 Ga 3.23
Pr  0.7500  0.7500  0.7500  4 K 3.23, 4 Ga 3.23
Ga  0.0000  0.0000  0.5000  4 Pr 3.23
Ga  0.0000  0.5000  0.0000  4 Pr 3.23
Ga  0.5000  0.0000  0.0000  4 Pr 3.23
Ga  0.5000  0.5000  0.5000  4 Pr 3.23

As for the volume: 34.69 Å³ per atom. As for the energy above the lowest structure with this stoichiometry: 0.000 eV per atom. As for the total energy: -2.511 eV per atom.